Entry 1:
The following is a PBE calculation of a relaxed structure of Li4Ce3PaSe8, from Alexandria.

Properties
Total magnetic moment: 0.311 μB/atom
Total energy: -5.439 eV per atom
Raw formation energy: -1.512 eV per atom
DOS at the Fermi energy: 75.10 states/eV per cell

Unit cell a=8.3168 b=8.3168 c=19.6069 alpha=90.00 beta=90.00 gamma=120.00
Space group R-3m (No. 166, hexagonal axes)
Asymmetric unit:
Li 0.0000 0.0000 0.0000 x3
Li 0.0000 0.5000 0.0000 x9
Ce 0.0000 0.5000 0.5000 x9
Pa 0.0000 0.0000 0.5000 x3
Se 0.0000 0.0000 0.2540 x6
Se 0.0086 0.5043 0.2536 x18

=====

Entry 2:
The following is a PBE calculation of a relaxed structure of Rb2Tm3Te6, from Alexandria.

Properties
Total magnetic moment: 0.000 μB/atom
Total energy: -4.382 eV per atom
Raw formation energy: -1.273 eV per atom
DOS at the Fermi energy: 9.05 states/eV per cell

Unit cell a=7.478 b=12.951 c=9.300 alpha=90.00 beta=105.56 gamma=90.00
Space group C2/m (No. 12)
Asymmetric unit:
Rb 0.000 0.167 0.000 x4
Tm 0.000 0.000 0.500 x2
Tm 0.000 0.332 0.500 x4
Te 0.230 0.500 0.697 x4
Te 0.234 0.165 0.698 x8